# UCo5AsP2 (PBE, relaxed)
data_UCo5AsP2
_space_group_name_H-M_alt 'P 1'
_space_group_IT_number 1
_space_group_name_Hall 'P 1'
_cell_length_a 3.685
_cell_length_b 3.685
_cell_length_c 9.491
_cell_angle_alpha 90.00
_cell_angle_beta 90.00
_cell_angle_gamma 90.00
loop_
_atom_site_label
_atom_site_fract_x
_atom_site_fract_y
_atom_site_fract_z
Co1 0.500 0.500 0.500
Co2 0.000 0.500 0.846
Co3 0.500 0.000 0.154
Co4 0.500 0.000 0.846
Co5 0.000 0.500 0.154
As1 0.000 0.000 0.000
U1 0.000 0.000 0.500
P1 0.500 0.500 0.275
P2 0.500 0.500 0.725
# space-group type	No. 123
# final energy	-7.33	eV per atom
# formation energy	-411	meV/atom
# spin magnetization	2.0	μB/cell